Entry 1:
## Tb6Nd3Er2Sc (PBE)

Data for an optimized crystal structure of Tb6Nd3Er2Sc.

Results
- energy of formation (eV per atom) = 0.03
- SG = C2/m
- D(E_F) (states/eV/atom) = 1.39

a = 6.1694 Å, b = 6.1694 Å, c = 11.7791 Å
α = 95.00°, β = 95.00°, γ = 119.99°
Positions (direct):
1 Tb 0.0806 0.4115 0.2428
2 Tb 0.2503 0.2503 0.7570
3 Tb 0.4115 0.0806 0.2428
4 Tb 0.5885 0.9194 0.7572
5 Tb 0.7497 0.7497 0.2430
6 Tb 0.9194 0.5885 0.7572
7 Nd 0.1666 0.8334 0.5000
8 Nd 0.5000 0.5000 0.5000
9 Nd 0.8334 0.1666 0.5000
10 Er 0.3335 0.6665 0.0000
11 Er 0.6665 0.3335 0.0000
12 Sc 0.0000 0.0000 0.0000


Entry 2:
## SrLiAg2Hg4 (PBE)

Data for an optimized crystal structure of SrLiAg2Hg4.

Results
- energy of formation (eV per atom) = -0.25
- SG = R-3m
- D(E_F) (states/eV/atom) = 0.37

a = 8.9579 Å, b = 8.9579 Å, c = 8.9579 Å
α = 32.40°, β = 32.40°, γ = 32.40°
Positions (direct):
1 Sr 0.0000 0.0000 0.0000
2 Li 0.5000 0.5000 0.5000
3 Ag 0.2490 0.2490 0.2490
4 Ag 0.7510 0.7510 0.7510
5 Hg 0.1327 0.1327 0.1327
6 Hg 0.3914 0.3914 0.3914
7 Hg 0.6086 0.6086 0.6086
8 Hg 0.8673 0.8673 0.8673


Entry 3:
## Mg4Cd5Hg (PBE)

Data for an optimized crystal structure of Mg4Cd5Hg.

Results
- energy of formation (eV per atom) = -0.07
- SG = P4/mmm
- D(E_F) (states/eV/atom) = 0.38
- E above lowest polymorph (eV/f.u.) = 0.22

a = 3.7721 Å, b = 3.7721 Å, c = 15.5500 Å
α = 90.00°, β = 90.00°, γ = 90.00°
Positions (direct):
1 Mg 0.0000 0.0000 0.1015
2 Mg 0.0000 0.0000 0.3026
3 Mg 0.0000 0.0000 0.6974
4 Mg 0.0000 0.0000 0.8985
5 Cd 0.5000 0.5000 0.0000
6 Cd 0.5000 0.5000 0.2023
7 Cd 0.5000 0.5000 0.3996
8 Cd 0.5000 0.5000 0.6004
9 Cd 0.5000 0.5000 0.7977
10 Hg 0.0000 0.0000 0.5000


Entry 4:
## RbScTeO6 (PBE)

Data for an optimized crystal structure of RbScTeO6.

Results
- SG = C2
- energy relative to the elements, uncorrected (eV/atom) = -1.533

a = 5.6805 Å, b = 5.6805 Å, c = 5.9000 Å
α = 90.82°, β = 90.82°, γ = 118.92°
Positions (direct):
1 Rb 0.0000 0.0000 0.0000
2 Sc 0.3457 0.6543 0.5000
3 Te 0.6568 0.3432 0.5000
4 O 0.4160 0.3910 0.3003
5 O 0.4243 0.0266 0.6721
6 O 0.6026 0.0155 0.3366
7 O 0.6090 0.5840 0.6997
8 O 0.9734 0.5757 0.3279
9 O 0.9845 0.3974 0.6634


Q: Which formula does entry 1 have?
A: Tb6Nd3Er2Sc